1.
Material: Dy2HoAl9
Method: DFT, PBE
State: relaxed

Summary:
ΔE_f (eV per atom): -0.358
Space group: R-3m, No. 166
Total magnetization (μB/f.u.): 0.0

a = 5.564 Å, b = 5.564 Å, c = 9.322 Å
α = 72.64°, β = 72.64°, γ = 60.00°
Fractional positions:
Al 0.665 0.665 0.006
Al 0.587 0.076 0.750
Dy 0.142 0.142 0.574
Dy 0.858 0.858 0.426
Al 0.413 0.924 0.250
Al 0.924 0.413 0.250
Al 0.076 0.587 0.750
Ho 0.000 0.000 0.000
Al 0.500 0.500 0.500
Al 0.587 0.587 0.750
Al 0.413 0.413 0.250
Al 0.335 0.335 0.994

---

2.
Material: Be2CuTe
Method: DFT, PBE
State: relaxed

Summary:
Raw formation energy (eV per atom): 0.586
Space group: Pmmm, No. 47
Total magnetization (μB/f.u.): 0.0

a = 3.624 Å, b = 4.606 Å, c = 3.520 Å
α = 90.00°, β = 90.00°, γ = 90.00°
Fractional positions:
Te 0.000 0.500 0.500
Cu 0.500 0.000 0.500
Be 0.500 0.500 0.000
Be 0.000 0.000 0.000

---

Values of density, in order: 5.19; 5.91, all in g/cm³.
Values of VASP energy, in order: -4.314; -3.086, all in eV per atom.